Entry 1:
First-principles (PBE) data for crystalline CaCoPt at its relaxed geometry, as listed in Alexandria via LeMat-Bulk.

POSCAR file:
```
CaCoPt
1.0
-0.4175 0.3081 4.0619
-1.2188 -3.3988 -1.9316
3.8307 -1.6694 0.5204
Ca Co Pt
1 1 1
Cartesian
3.8301 -1.6692 0.5203
0.9634 -2.9978 0.3264
1.2304 -1.7621 2.3242
```

Space-group type = P-6m2 (187)
Magnetization = 0.3997 μB/atom


Entry 2:
First-principles (PBE) data for crystalline CaCoPt2 at its relaxed geometry, as listed in Alexandria via LeMat-Bulk.

POSCAR file:
```
CaCoPt2
1.0
5.0503 -0.0006 -0.0685
1.8730 4.6902 0.0685
-3.4092 -2.4223 2.8321
Ca Co Pt
1 1 2
Cartesian
3.4581 2.3424 0.0000
0.9534 2.3000 1.4503
0.0088 0.0059 0.0000
2.5555 -0.0362 1.3818
```

Space-group type = Imm2 (44)
Magnetization = 0.6051 μB/atom


What did we get for mass density? Answer: 8.0; 12.1 Mg/m³, in the order shown.
What did we get for energy of formation from the pure elements? Answer: -0.34; -0.19 eV per atom, in the order shown.